# SCAN KBaB5O9, PBEsol geometry
data_KBaB5O9
_chemical_formula_sum 'K4 Ba4 B20 O36'
_cell_length_a 6.740
_cell_length_b 8.337
_cell_length_c 14.407
_cell_angle_alpha 90.00
_cell_angle_beta 92.59
_cell_angle_gamma 90.00
_symmetry_space_group_name_H-M 'P 1'
_symmetry_Int_Tables_number 1
_symmetry_space_group_name_Hall 'P 1'
loop_
_atom_site_label
_atom_site_fract_x
_atom_site_fract_y
_atom_site_fract_z
O1 0.782 0.752 0.497
O2 0.244 0.062 0.130
O3 0.006 0.762 0.369
O4 0.994 0.238 0.631
O5 0.652 0.171 0.595
O6 0.666 0.662 0.841
O7 0.120 0.836 0.523
O8 0.782 0.748 0.997
O9 0.370 0.618 0.740
O10 0.334 0.162 0.659
O11 0.348 0.671 0.905
O12 0.630 0.382 0.260
O13 0.244 0.438 0.630
O14 0.880 0.336 0.977
O15 0.880 0.164 0.477
O16 0.994 0.262 0.131
O17 0.095 0.183 0.350
O18 0.756 0.938 0.870
O19 0.095 0.317 0.850
O20 0.905 0.817 0.650
O21 0.559 0.380 0.706
O22 0.630 0.118 0.760
O23 0.334 0.338 0.159
O24 0.441 0.620 0.294
O25 0.652 0.329 0.095
O26 0.006 0.738 0.869
O27 0.666 0.838 0.341
O28 0.756 0.562 0.370
O29 0.441 0.880 0.794
O30 0.559 0.120 0.206
O31 0.348 0.829 0.405
O32 0.218 0.252 0.003
O33 0.370 0.882 0.240
O34 0.120 0.664 0.023
O35 0.905 0.683 0.150
O36 0.218 0.248 0.503
K1 0.487 0.647 0.098
K2 0.513 0.353 0.902
K3 0.487 0.853 0.598
K4 0.513 0.147 0.402
B1 0.605 0.522 0.308
B2 0.540 0.295 0.179
B3 0.158 0.809 0.430
B4 0.460 0.705 0.821
B5 0.932 0.803 0.558
B6 0.068 0.303 0.942
B7 0.842 0.191 0.570
B8 0.795 0.731 0.397
B9 0.605 0.978 0.808
B10 0.068 0.197 0.442
B11 0.395 0.022 0.192
B12 0.395 0.478 0.692
B13 0.540 0.205 0.679
B14 0.795 0.769 0.897
B15 0.932 0.697 0.058
B16 0.205 0.231 0.103
B17 0.158 0.691 0.930
B18 0.842 0.309 0.070
B19 0.460 0.795 0.321
B20 0.205 0.269 0.603
Ba1 0.928 0.976 0.230
Ba2 0.928 0.524 0.730
Ba3 0.072 0.476 0.270
Ba4 0.072 0.024 0.770
# **Mass density**: 3.1 g cm⁻³
# **Total magnetic moment**: 0.22 μB per cell
# **Volume**: 12.63 Å³/atom
# **Energy relative to the elements, uncorrected**: -2766.8 meV/atom